Record 1
A relaxed structure of LiCdBPt2. Source: Alexandria via LeMat-Bulk, functional GGA-PBE.

Cell lengths 4.145, 4.145, 4.604 Å; angles 90.00, 90.00, 90.00 degrees
Atoms (fractional coordinates):
B 0.000 0.000 0.000
Li 0.500 0.500 0.500
Pt 0.000 0.500 0.000
Pt 0.500 0.000 0.000
Cd 0.000 0.000 0.500

Calculated values
Crystal system ... tetragonal
SG ... P4/mmm, No. 123
Energy of formation from the pure elements ... -0.239 eV/atom
Total DFT energy (no corrections) ... -4.5562 eV per atom
D(E_F) ... 2.77 states/eV/f.u.
M_tot ... 0.000 μB per cell

Record 2
A relaxed structure of Li2Cd2BPt4. Source: Alexandria via LeMat-Bulk, functional GGA-PBE.

Cell lengths 5.846, 5.846, 5.846 Å; angles 86.82, 121.85, 121.85 degrees
Atoms (fractional coordinates):
Li 0.000 0.727 0.727
Li 0.000 0.273 0.273
Cd 0.500 0.750 0.250
Cd 0.500 0.250 0.750
B 0.000 0.000 0.000
Pt 0.000 0.744 0.256
Pt 0.488 0.744 0.744
Pt 0.000 0.256 0.744
Pt 0.512 0.256 0.256

Calculated values
Crystal system ... tetragonal
SG ... I4/mmm, No. 139
Energy of formation from the pure elements ... -0.516 eV/atom
Total DFT energy (no corrections) ... -4.5718 eV per atom
D(E_F) ... 1.96 states/eV/f.u.
M_tot ... 0.000 μB per cell

Please write out number 2 again, unchanged.
A relaxed structure of Li2Cd2BPt4. Source: Alexandria via LeMat-Bulk, functional GGA-PBE.

Cell lengths 5.846, 5.846, 5.846 Å; angles 86.82, 121.85, 121.85 degrees
Atoms (fractional coordinates):
Li 0.000 0.727 0.727
Li 0.000 0.273 0.273
Cd 0.500 0.750 0.250
Cd 0.500 0.250 0.750
B 0.000 0.000 0.000
Pt 0.000 0.744 0.256
Pt 0.488 0.744 0.744
Pt 0.000 0.256 0.744
Pt 0.512 0.256 0.256

Calculated values
Crystal system ... tetragonal
SG ... I4/mmm, No. 139
Energy of formation from the pure elements ... -0.516 eV/atom
Total DFT energy (no corrections) ... -4.5718 eV per atom
D(E_F) ... 1.96 states/eV/f.u.
M_tot ... 0.000 μB per cell